# CdIn2Au

An optimized crystal structure of CdIn2Au (PBE, Alexandria via LeMat-Bulk).

Output
VASP energy	-20.26	eV for the cell shown
ΔE_f	-0.115	eV per atom

Unit cell a=4.139 b=5.795 c=8.718 alpha=90.00 beta=90.00 gamma=116.04
Fractional positions:
Cd: 0.955 0.882 0.250
Cd: 0.045 0.118 0.750
In: 0.380 0.727 0.544
In: 0.620 0.273 0.456
In: 0.380 0.727 0.956
In: 0.620 0.273 0.044
Au: 0.770 0.544 0.750
Au: 0.230 0.456 0.250